# MoOsI2 (GGA-PBE, optimized geometry)
data_MoOsI2
_chemical_formula_sum 'Mo4 Os4 I8'
_cell_length_a 5.9940
_cell_length_b 5.9940
_cell_length_c 11.9892
_cell_angle_alpha 90.00
_cell_angle_beta 90.00
_cell_angle_gamma 90.00
_space_group_name_H-M_alt 'I -4 2 d'
_space_group_IT_number 122
_space_group_name_Hall 'I -4 2bw'
loop_
_atom_site_label
_atom_site_fract_x
_atom_site_fract_y
_atom_site_fract_z
Mo1 0.0000 0.0000 0.0000
Os1 0.0000 0.0000 0.5000
I1 0.2423 0.2500 0.6250
# - E_tot (eV/atom) = -4.82